{"formula": "FeRh3W", "functional": "GGA-PBE", "state": "relaxed", "lattice_angstrom": [[-2.129, -3.057, 2.317], [-0.450, -2.432, -3.623], [3.809, -1.996, 0.867]], "species": ["Rh", "Rh", "Rh", "Fe", "W"], "fractional_positions": [[0.000, 0.500, 0.000], [0.000, 0.000, 0.500], [0.500, 0.000, 0.000], [0.000, 0.000, 0.000], [0.500, 0.500, 0.500]], "formation_enthalpy_0k_ev_per_atom": 1.36, "final_energy_ev_per_atom": -7.334, "e_above_lowest_polymorph_mev_per_atom": 11}